! CeTmLuMg PBE optimized geometry; values from VASP
! Final energy: -16.22 eV/f.u.
! Energy of formation: 76 meV per atom
! Size of the total moment: 1.29 μB/f.u.
&SYSTEM
  ibrav = 0, nat = 4, ntyp = 4
/
ATOMIC_SPECIES
Ce 140.12 Ce.upf
Tm 168.93 Tm.upf
Lu 174.97 Lu.upf
Mg 24.30 Mg.upf
CELL_PARAMETERS angstrom
0.0000 3.8448 3.8448
3.8448 0.0000 3.8448
3.8448 3.8448 0.0000
ATOMIC_POSITIONS crystal
Ce 0.0000 0.0000 0.0000
Tm 0.5000 0.5000 0.5000
Lu 0.7500 0.7500 0.7500
Mg 0.2500 0.2500 0.2500